Below is a relaxed structure of YTcTe2, with properties calculated at the PBE level.

```
YTcTe2
1.0
-3.4149 0.6578 0.1410
-0.2098 -0.3481 -3.4567
-1.3467 -7.1631 0.8031
Tc Te Y
1 2 1
direct
0.5000 0.5000 0.7500
0.0000 0.0000 0.9713
0.0000 0.0000 0.5287
0.5000 0.5000 0.2500
```

## Properties
Total magnetic moment = 0.00 μB/f.u.
Raw total energy = -5.934 eV per atom
Mass density = 8.3 g/cm³
Raw formation energy = -156 meV/atom

Below is a relaxed structure of Sc10In3Te3, with properties calculated at the PBE level.

```
Sc10In3Te3
1.0
5.9879 0.0000 0.0000
0.0000 7.3357 -4.2352
0.0000 0.0000 8.4705
Sc In Te
10 3 3
direct
0.2513 0.6667 0.3333
0.2513 0.3333 0.6667
0.7487 0.3333 0.6667
0.7487 0.6667 0.3333
0.5000 0.0000 0.7644
0.5000 0.7644 0.0000
0.5000 0.2356 0.2356
0.0000 0.0000 0.2392
0.0000 0.2392 0.0000
0.0000 0.7608 0.7608
0.5000 0.0000 0.3917
0.5000 0.3917 0.0000
0.5000 0.6083 0.6083
0.0000 0.0000 0.6102
0.0000 0.6102 0.0000
0.0000 0.3898 0.3898
```

## Properties
Total magnetic moment = 0.61 μB/f.u.
Raw total energy = -5.700 eV per atom
Mass density = 5.3 g/cm³
Raw formation energy = -641 meV/atom

Below is a relaxed structure of ReBr3Cl2, with properties calculated at the PBE level.

```
ReBr3Cl2
1.0
-7.6601 2.5724 -0.2441
-4.2474 0.6255 6.0476
2.6947 8.4373 4.3514
Re Br Cl
2 6 4
direct
0.2221 0.0000 0.2500
0.7779 0.0000 0.7500
0.0705 0.0000 0.7500
0.9295 0.0000 0.2500
0.6084 0.3323 0.8369
0.9406 0.6677 0.6631
0.0594 0.3323 0.3369
0.3916 0.6677 0.1631
0.5415 0.2047 0.5531
0.2538 0.2047 0.0531
0.7462 0.7953 0.9469
0.4585 0.7953 0.4469
```

## Properties
Total magnetic moment = 2.00 μB/f.u.
Raw total energy = -3.873 eV per atom
Mass density = 3.5 g/cm³
Raw formation energy = -346 meV/atom

Below is a relaxed structure of MnCo5Re, with properties calculated at the PBE level.

```
MnCo5Re
1.0
-3.8992 -1.7605 1.5826
1.5157 -4.2647 0.5683
3.6242 4.6300 6.1507
Mn Co Re
2 10 2
direct
0.5049 0.7549 0.2500
0.4951 0.2451 0.7500
0.2387 0.9272 0.4614
0.6015 0.6685 0.6560
0.5342 0.7227 0.9614
0.8463 0.0963 0.2500
0.0124 0.4455 0.8440
0.9876 0.5545 0.1560
0.1537 0.9037 0.7500
0.4658 0.2773 0.0386
0.3985 0.3315 0.3440
0.7613 0.0728 0.5386
0.0000 0.0000 0.0000
0.0000 0.5000 0.5000
```

## Properties
Total magnetic moment = 5.30 μB/f.u.
Raw total energy = -7.951 eV per atom
Mass density = 11.1 g/cm³

Below is a relaxed structure of BeCo2Ni9, with properties calculated at the PBE level.

```
BeCo2Ni9
1.0
-2.8489 1.5500 -1.3109
-1.8408 -2.9248 0.5421
-2.5541 3.3759 9.5423
Be Co Ni
1 2 9
direct
0.0000 0.0000 0.0000
0.0000 0.0000 0.3283
0.0000 0.0000 0.6717
0.5000 0.5000 0.0000
0.5000 0.5000 0.3313
0.5000 0.5000 0.6687
0.5000 0.0000 0.1613
0.5000 0.0000 0.5000
0.5000 0.0000 0.8387
0.0000 0.5000 0.1613
0.0000 0.5000 0.5000
0.0000 0.5000 0.8387
```

## Properties
Total magnetic moment = 8.87 μB/f.u.
Raw total energy = -5.882 eV per atom
Mass density = 8.5 g/cm³

Below is a relaxed structure of BeNbAg3, with properties calculated at the PBE level.

```
BeNbAg3
1.0
4.4053 0.0000 0.0000
0.0000 4.4053 0.0000
0.0000 0.0000 4.4053
Be Nb Ag
1 1 3
direct
0.0000 0.0000 0.0000
0.5000 0.5000 0.5000
0.0000 0.5000 0.0000
0.0000 0.0000 0.5000
0.5000 0.0000 0.0000
```

## Properties
Total magnetic moment = 1.43 μB/f.u.
Raw total energy = -3.826 eV per atom
Mass density = 8.3 g/cm³

Below is a relaxed structure of YPuI4, with properties calculated at the PBE level.

```
YPuI4
1.0
4.2426 0.0000 0.0000
-2.1213 8.6681 0.6663
0.0000 -3.7130 6.4110
Y Pu I
1 1 4
direct
0.5000 0.0000 0.5000
0.0000 0.0000 0.0000
0.3753 0.7506 0.0497
0.1233 0.2466 0.4650
0.6247 0.2494 0.9503
0.8767 0.7534 0.5350
```

## Properties
Total magnetic moment = 6.79 μB/f.u.
Raw total energy = -5.645 eV per atom
Mass density = 5.7 g/cm³
Raw formation energy = -1146 meV/atom

Below is a relaxed structure of Nd4Lu2N, with properties calculated at the PBE level.

```
Nd4Lu2N
1.0
-0.9520 2.1076 4.4465
4.3238 -1.8038 1.7806
5.7798 7.4265 0.5420
Lu Nd N
2 4 1
direct
0.6597 0.6597 0.6807
0.3403 0.3403 0.3193
0.8627 0.8627 0.2746
0.1373 0.1373 0.7254
0.0000 0.5000 0.0000
0.5000 0.0000 0.0000
0.0000 0.0000 0.0000
```

## Properties
Total magnetic moment = 0.00 μB/f.u.
Raw total energy = -5.363 eV per atom
Mass density = 7.1 g/cm³
Raw formation energy = -157 meV/atom

Below is a relaxed structure of CsLi2Te2, with properties calculated at the PBE level.

```
CsLi2Te2
1.0
7.1754 0.0022 0.0030
3.5896 6.0784 0.0009
3.5853 0.0018 7.2714
Cs Li Te
2 4 4
direct
0.8750 0.7500 0.2501
0.1250 0.2500 0.7499
0.4828 0.7500 0.0344
0.7327 0.2500 0.5345
0.5172 0.2500 0.9656
0.2673 0.7500 0.4655
0.5715 0.3573 0.2499
0.8214 0.8573 0.7500
0.1786 0.1427 0.2500
0.4285 0.6427 0.7501
```

## Properties
Total magnetic moment = 0.00 μB/f.u.
Raw total energy = -3.072 eV per atom
Mass density = 4.2 g/cm³
Raw formation energy = -879 meV/atom

Below is a relaxed structure of KRb3Tl2Br6, with properties calculated at the PBE level.

```
KRb3Tl2Br6
1.0
8.4198 -0.0016 0.0016
-4.2092 7.2922 0.0016
-1.4036 -2.4302 7.9119
K Rb Tl Br
1 3 2 6
direct
0.0000 0.0000 0.0000
0.1686 0.8314 0.5000
0.8314 0.1686 0.5000
0.5000 0.5000 0.5000
0.3341 0.6659 0.0000
0.6659 0.3341 0.0000
0.9198 0.5894 0.7595
0.7503 0.7503 0.2420
0.0802 0.4106 0.2405
0.5894 0.9198 0.7595
0.2497 0.2497 0.7580
0.4106 0.0802 0.2405
```

## Properties
Total magnetic moment = 0.00 μB/f.u.
Raw total energy = -3.017 eV per atom
Mass density = 4.0 g/cm³
Raw formation energy = -1453 meV/atom

Below is a relaxed structure of TbPu2Cd, with properties calculated at the PBE level.

```
TbPu2Cd
1.0
4.1393 0.0000 0.0000
0.0000 4.1393 0.0000
0.0000 0.0000 6.5367
Cd Tb Pu
1 1 2
direct
0.5000 0.5000 0.0000
0.5000 0.5000 0.5000
0.0000 0.0000 0.7663
0.0000 0.0000 0.2337
```

## Properties
Total magnetic moment = 13.08 μB/f.u.
Raw total energy = -8.395 eV per atom
Mass density = 11.3 g/cm³

Below is a relaxed structure of CaMnHgBr2, with properties calculated at the PBE level.

```
CaMnHgBr2
1.0
-0.5122 -4.9206 -1.4217
4.2202 -1.3790 3.2523
-3.2641 -0.7875 3.9015
Ca Mn Hg Br
1 1 1 2
direct
0.5000 0.5000 0.5000
0.0000 0.0000 0.0000
0.0000 0.5000 0.0000
0.0000 0.0000 0.5000
0.5000 0.0000 0.0000
```

## Properties
Total magnetic moment = 4.13 μB/f.u.
Raw total energy = -3.356 eV per atom
Mass density = 5.2 g/cm³
Raw formation energy = -392 meV/atom

Below is a relaxed structure of LiGa2PtW, with properties calculated at the PBE level.

```
LiGa2PtW
1.0
-1.6148 -2.4447 3.8504
2.1734 -3.8759 -1.5494
3.9760 1.2466 2.4590
Ga W Pt Li
2 1 1 1
direct
0.0000 0.0000 0.5000
0.5000 0.0000 0.0000
0.0000 0.0000 0.0000
0.5000 0.5000 0.5000
0.0000 0.5000 0.0000
```

## Properties
Total magnetic moment = 2.13 μB/f.u.
Raw total energy = -4.142 eV per atom
Mass density = 7.9 g/cm³

Below is a relaxed structure of Nb3SbH, with properties calculated at the PBE level.

```
Nb3SbH
1.0
5.0969 0.0000 0.0000
0.0000 5.0969 0.0000
0.0000 0.0000 5.0969
Sb Nb H
1 3 1
direct
0.0000 0.0000 0.0000
0.0000 0.5000 0.0000
0.0000 0.0000 0.5000
0.5000 0.0000 0.0000
0.5000 0.5000 0.5000
```

## Properties
Total magnetic moment = 0.00 μB/f.u.
Raw total energy = -5.324 eV per atom
Mass density = 5.0 g/cm³

Below is a relaxed structure of NaB3N, with properties calculated at the PBE level.

```
NaB3N
1.0
3.6810 0.0000 0.0000
0.0000 3.6810 0.0000
0.0000 0.0000 3.6810
Na B N
1 3 1
direct
0.5000 0.5000 0.5000
0.0000 0.5000 0.0000
0.0000 0.0000 0.5000
0.5000 0.0000 0.0000
0.0000 0.0000 0.0000
```

## Properties
Total magnetic moment = 0.00 μB/f.u.
Raw total energy = -3.836 eV per atom
Mass density = 2.3 g/cm³
Raw formation energy = 2100 meV/atom

Below is a relaxed structure of AcSm2GeN4, with properties calculated at the PBE level.

```
AcSm2GeN4
1.0
-2.4339 0.8661 2.6151
2.7262 -5.3357 1.7208
8.4216 6.1716 5.7940
Ac Sm Ge N
2 4 2 8
direct
0.0972 0.1944 0.7500
0.9028 0.8056 0.2500
0.3692 0.7384 0.5443
0.6308 0.2616 0.0443
0.6308 0.2616 0.4557
0.3692 0.7384 0.9557
0.8323 0.6647 0.7500
0.1677 0.3353 0.2500
0.2696 0.5393 0.1274
0.7304 0.4607 0.6274
0.7304 0.4607 0.8726
0.2696 0.5393 0.3726
0.0000 0.0000 0.5000
0.0000 0.0000 0.0000
0.4127 0.8253 0.7500
0.5873 0.1747 0.2500
```

## Properties
Total magnetic moment = 0.00 μB/f.u.
Raw total energy = -7.429 eV per atom
Mass density = 8.3 g/cm³
Raw formation energy = -996 meV/atom

Below is a relaxed structure of GdPuCd4, with properties calculated at the PBE level.

```
GdPuCd4
1.0
5.9530 0.0000 0.0000
2.9765 5.1554 0.0000
2.9765 1.7185 4.8606
Cd Gd Pu
4 1 1
direct
0.6250 0.6250 0.1251
0.6250 0.1251 0.6250
0.6250 0.6250 0.6250
0.1251 0.6250 0.6250
0.2500 0.2500 0.2500
0.0000 0.0000 0.0000
```

## Properties
Total magnetic moment = 13.12 μB/f.u.
Raw total energy = -5.487 eV per atom
Mass density = 9.5 g/cm³

Below is a relaxed structure of Co2Ir, with properties calculated at the PBE level.

```
Co2Ir
1.0
3.5420 -6.1349 0.0000
3.5420 6.1349 0.0000
0.0000 0.0000 2.6145
Co Ir
6 3
direct
0.0000 0.3021 0.0000
0.0000 0.6359 0.5000
0.3021 0.0000 0.0000
0.6979 0.6979 0.0000
0.6359 0.0000 0.5000
0.3641 0.3641 0.5000
0.0000 0.0000 0.5000
0.3333 0.6667 0.0000
0.6667 0.3333 0.0000
```

## Properties
Total magnetic moment = 3.69 μB/f.u.
Raw total energy = -7.554 eV per atom
Mass density = 13.6 g/cm³

Below is a relaxed structure of Sr2LaAsC, with properties calculated at the PBE level.

```
Sr2LaAsC
1.0
-0.1139 -5.2663 -0.4857
-0.1728 -0.4565 4.9910
-5.2855 0.1301 -0.1711
Sr As C La
2 1 1 1
direct
0.0000 0.0000 0.5000
0.5000 0.0000 0.0000
0.5000 0.5000 0.5000
0.0000 0.0000 0.0000
0.0000 0.5000 0.0000
```

## Properties
Total magnetic moment = 0.00 μB/f.u.
Raw total energy = -4.759 eV per atom
Mass density = 4.7 g/cm³

Below is a relaxed structure of TeNF, with properties calculated at the PBE level.

```
TeNF
1.0
-1.3034 -8.2805 -3.6031
5.0457 -0.4295 -0.8382
1.2628 2.6122 6.2636
Te N F
4 4 4
direct
0.1229 0.7336 0.2727
0.6229 0.7664 0.2727
0.3771 0.2336 0.7273
0.8771 0.2664 0.7273
0.6646 0.3916 0.3339
0.1646 0.1084 0.3339
0.8354 0.8916 0.6661
0.3354 0.6084 0.6661
0.8200 0.8025 0.2306
0.3200 0.6975 0.2306
0.6800 0.3025 0.7694
0.1800 0.1975 0.7694
```

## Properties
Total magnetic moment = 0.00 μB/f.u.
Raw total energy = -4.794 eV per atom
Mass density = 4.8 g/cm³
Raw formation energy = -347 meV/atom

Below is a relaxed structure of VFe8Ni2, with properties calculated at the PBE level.

```
VFe8Ni2
1.0
-3.1030 -2.1293 1.9458
-2.7261 1.4229 -4.4658
4.6576 -4.6021 -1.3828
V Fe Ni
1 8 2
direct
0.5000 0.0000 0.0000
0.1797 0.3446 0.2310
0.9487 0.1136 0.7690
0.7075 0.3979 0.0000
0.7040 0.2040 0.4080
0.2960 0.7960 0.5920
0.2925 0.6021 0.0000
0.0513 0.8864 0.2310
0.8203 0.6554 0.7690
0.6954 0.6954 0.3907
0.3046 0.3046 0.6093
```

## Properties
Total magnetic moment = 18.35 μB/f.u.
Raw total energy = -7.793 eV per atom
Mass density = 7.6 g/cm³

Below is a relaxed structure of PmSnGePd2, with properties calculated at the PBE level.

```
PmSnGePd2
1.0
4.5607 0.0000 0.0000
0.0000 4.5606 0.0001
0.0000 0.0003 6.1818
Pm Sn Ge Pd
1 1 1 2
direct
0.0000 0.0000 0.5247
0.5000 0.5000 0.6444
0.0000 0.0000 0.0487
0.0000 0.5000 0.8911
0.5000 0.0000 0.8911
```

## Properties
Total magnetic moment = 0.00 μB/f.u.
Raw total energy = -5.162 eV per atom
Mass density = 7.1 g/cm³

Below is a relaxed structure of YBeSb2, with properties calculated at the PBE level.

```
YBeSb2
1.0
4.6977 0.0000 0.0000
0.0000 4.6949 0.0000
0.0000 0.0000 4.1447
Y Sb Be
1 2 1
direct
0.5000 0.0000 0.5000
0.0000 0.0000 0.0000
0.5000 0.5000 0.0000
0.0000 0.5000 0.5000
```

## Properties
Total magnetic moment = 0.00 μB/f.u.
Raw total energy = -4.745 eV per atom
Mass density = 6.2 g/cm³
Raw formation energy = -137 meV/atom

Below is a relaxed structure of Na17Cd2, with properties calculated at the PBE level.

```
Na17Cd2
1.0
-8.2052 -2.9001 -3.7619
0.3122 -8.4874 -4.2136
-4.3263 -6.9784 4.7405
Na Cd
17 2
direct
0.4351 0.4351 0.8002
0.4351 0.8002 0.4351
0.0850 0.0850 0.0850
0.9150 0.9150 0.9150
0.0000 0.0000 0.5000
0.5000 0.0000 0.0000
0.0000 0.5000 0.0000
0.3160 0.6840 0.0000
0.0000 0.3160 0.6840
0.6840 0.0000 0.3160
0.6840 0.3160 0.0000
0.0000 0.6840 0.3160
0.3160 0.0000 0.6840
0.5649 0.1998 0.5649
0.5649 0.5649 0.1998
0.1998 0.5649 0.5649
0.8002 0.4351 0.4351
0.6975 0.6975 0.6975
0.3025 0.3025 0.3025
```

## Properties
Total magnetic moment = 0.00 μB/f.u.
Raw total energy = -1.199 eV per atom
Mass density = 1.5 g/cm³